No. 1
VASP calculation (GGA-PBE) on a relaxed structure of Pr8NiPt3Br4.

Computed properties:
**Raw total energy**: -5.4293 eV/atom
**Total moment**: 0.00 μB per formula unit

abc: 8.4692 8.4692 23.3881
angles: 90.00 90.00 120.00
Space group R-3m (No. 166, hexagonal axes)
Unique sites:
Pr (0.0000, 0.0000, 0.2331)
Pr (0.0076, 0.5038, 0.2319)
Ni (0.0000, 0.0000, 0.5000)
Pt (0.0000, 0.5000, 0.5000)
Br (0.0000, 0.0000, 0.0000)
Br (0.0000, 0.5000, 0.0000)

No. 2
VASP calculation (GGA-PBE) on a relaxed structure of Pr8Ni3RhBr4.

Computed properties:
**Raw total energy**: -5.2160 eV/atom
**Total moment**: 0.00 μB per formula unit

abc: 14.301 8.253 9.159
angles: 90.00 121.41 90.00
Space group C2/m (No. 12)
Unique sites:
Pr (0.019, 0.248, 0.305)
Pr (0.231, 0.000, 0.692)
Pr (0.233, 0.500, 0.695)
Ni (0.000, 0.000, 0.500)
Ni (0.250, 0.250, 0.500)
Rh (0.000, 0.500, 0.500)
Br (0.000, 0.000, 0.000)
Br (0.000, 0.500, 0.000)
Br (0.250, 0.250, 0.000)

No. 3
VASP calculation (GGA-PBE) on a relaxed structure of Pr8NiRh3Br4.

Computed properties:
**Raw total energy**: -5.5518 eV/atom
**Total moment**: 0.00 μB per formula unit

abc: 8.2981 8.2981 23.6273
angles: 90.00 90.00 120.00
Space group R-3m (No. 166, hexagonal axes)
Unique sites:
Pr (0.0000, 0.0000, 0.2327)
Pr (0.0036, 0.5018, 0.2315)
Ni (0.0000, 0.0000, 0.5000)
Rh (0.0000, 0.5000, 0.5000)
Br (0.0000, 0.0000, 0.0000)
Br (0.0000, 0.5000, 0.0000)